1.
{"formula": "KSrPb", "functional": "meta-GGA SCAN", "state": "PBEsol geometry", "cell": [[5.6583, 0.0000, 0.0000], [-2.8291, 4.9002, 0.0000], [0.0000, 0.0000, 3.7512]], "species": ["K", "Sr", "Pb"], "frac_coords": [[0.0000, 0.0000, 0.0000], [0.6667, 0.3333, 0.2303], [0.3333, 0.6667, 0.6317]], "delta_e_f_ev_per_atom": -0.3176, "magnetic_moment_mub_per_cell": 0.000, "energy_ev_per_atom": -35.7793}

=====

2.
{"formula": "AlCu3", "functional": "meta-GGA SCAN", "state": "PBEsol geometry", "cell": [[0.0000, 2.8792, 2.8792], [2.8792, 0.0000, 2.8792], [2.8792, 2.8792, 0.0000]], "species": ["Al", "Cu", "Cu", "Cu"], "frac_coords": [[0.0000, 0.0000, 0.0000], [0.2500, 0.2500, 0.2500], [0.5000, 0.5000, 0.5000], [0.7500, 0.7500, 0.7500]], "delta_e_f_ev_per_atom": -0.2424, "magnetic_moment_mub_per_cell": 0.000, "energy_ev_per_atom": -13.5799}

=====

3.
{"formula": "Cd2TcCl", "functional": "meta-GGA SCAN", "state": "PBEsol geometry", "cell": [[1.4756, 0.8519, 10.0230], [-1.4756, 0.8519, 10.0230], [0.0000, -1.7039, 10.0230]], "species": ["Cd", "Cd", "Tc", "Cl"], "frac_coords": [[0.0000, 0.0000, 0.0000], [0.2410, 0.2410, 0.2410], [0.7434, 0.7434, 0.7434], [0.4652, 0.4652, 0.4652]], "relative_energy_ev_per_fu": 0.13, "formation_energy_uncorrected_ev_per_atom": 0.097, "magnetic_moment_mub_per_cell": 0.000, "energy_ev_per_atom": -25.8694}

=====

4.
{"formula": "Ce3Nd2O9", "functional": "meta-GGA SCAN", "state": "PBEsol geometry", "cell": [[-1.9241, 1.9241, 13.7449], [1.9241, -1.9241, 13.7449], [1.9241, 1.9241, -13.7449]], "species": ["Ce", "Ce", "Ce", "Nd", "Nd", "O", "O", "O", "O", "O", "O", "O", "O", "O"], "frac_coords": [[0.0000, 0.0000, 0.0000], [0.4022, 0.4022, 0.0000], [0.5978, 0.5978, 0.0000], [0.1929, 0.1929, 0.0000], [0.8071, 0.8071, 0.0000], [0.0460, 0.5460, 0.5000], [0.1423, 0.6423, 0.5000], [0.2500, 0.7500, 0.5000], [0.3577, 0.8577, 0.5000], [0.4540, 0.9540, 0.5000], [0.5518, 0.0518, 0.5000], [0.6519, 0.1519, 0.5000], [0.8481, 0.3481, 0.5000], [0.9482, 0.4482, 0.5000]], "formation_energy_uncorrected_ev_per_atom": -3.689, "magnetic_moment_mub_per_cell": 0.000, "energy_ev_per_atom": -23.4701}

=====

5.
{"formula": "Li3CdF", "functional": "meta-GGA SCAN", "state": "PBEsol geometry", "cell": [[4.1295, 0.0000, 0.0000], [0.0000, 4.1295, 0.0000], [0.0000, 0.0000, 4.1295]], "species": ["Li", "Li", "Li", "Cd", "F"], "frac_coords": [[0.0000, 0.0000, 0.5000], [0.0000, 0.5000, 0.0000], [0.5000, 0.0000, 0.0000], [0.5000, 0.5000, 0.5000], [0.0000, 0.0000, 0.0000]], "formation_energy_uncorrected_ev_per_atom": -1.233, "magnetic_moment_mub_per_cell": 0.000, "energy_ev_per_atom": -9.4577}

=====

6.
{"formula": "Tl2InAu", "functional": "meta-GGA SCAN", "state": "PBEsol geometry", "cell": [[-2.3484, 2.3484, 4.3268], [2.3484, -2.3484, 4.3268], [2.3484, 2.3484, -4.3268]], "species": ["Tl", "Tl", "In", "Au"], "frac_coords": [[0.0000, 0.0000, 0.0000], [0.7500, 0.2500, 0.5000], [0.2500, 0.7500, 0.5000], [0.5000, 0.5000, 0.0000]], "relative_energy_ev_per_fu": 0.54, "delta_e_f_ev_per_atom": 0.0792, "magnetic_moment_mub_per_cell": 0.000, "energy_ev_per_atom": -61.7358}

=====

7.
{"formula": "ScTl2Te", "functional": "meta-GGA SCAN", "state": "PBEsol geometry", "cell": [[1.9190, 1.1079, 8.7547], [-1.9190, 1.1079, 8.7547], [0.0000, -2.2158, 8.7547]], "species": ["Sc", "Tl", "Tl", "Te"], "frac_coords": [[0.0000, 0.0000, 0.0000], [0.5038, 0.5038, 0.5038], [0.7477, 0.7477, 0.7477], [0.2675, 0.2675, 0.2675]], "relative_energy_ev_per_fu": 0.00, "formation_energy_uncorrected_ev_per_atom": -0.440, "magnetic_moment_mub_per_cell": 0.000, "energy_ev_per_atom": -49.4909}

=====

8.
{"formula": "Ba5P3ClO12", "functional": "meta-GGA SCAN", "state": "PBEsol geometry", "cell": [[10.2647, 0.0000, 0.0000], [-5.1323, 8.8895, 0.0000], [0.0000, 0.0000, 7.6382]], "species": ["Ba", "Ba", "Ba", "Ba", "Ba", "Ba", "Ba", "Ba", "Ba", "Ba", "P", "P", "P", "P", "P", "P", "Cl", "Cl", "O", "O", "O", "O", "O", "O", "O", "O", "O", "O", "O", "O", "O", "O", "O", "O", "O", "O", "O", "O", "O", "O", "O", "O"], "frac_coords": [[0.0144, 0.7555, 0.2500], [0.2445, 0.2589, 0.2500], [0.2589, 0.0144, 0.7500], [0.3333, 0.6667, 0.0007], [0.3333, 0.6667, 0.4993], [0.6667, 0.3333, 0.5007], [0.6667, 0.3333, 0.9993], [0.7411, 0.9856, 0.2500], [0.7555, 0.7411, 0.7500], [0.9856, 0.2445, 0.7500], [0.0361, 0.6299, 0.7500], [0.3701, 0.4062, 0.7500], [0.4062, 0.0361, 0.2500], [0.5938, 0.9639, 0.7500], [0.6299, 0.5938, 0.2500], [0.9639, 0.3701, 0.2500], [0.0000, 0.0000, 0.0000], [0.0000, 0.0000, 0.5000], [0.0880, 0.7320, 0.5849], [0.0880, 0.7320, 0.9151], [0.1175, 0.5360, 0.7500], [0.1373, 0.4762, 0.2500], [0.2680, 0.3560, 0.5849], [0.2680, 0.3560, 0.9151], [0.3388, 0.8627, 0.2500], [0.3560, 0.0880, 0.0849], [0.3560, 0.0880, 0.4151], [0.4185, 0.8825, 0.7500], [0.4640, 0.5815, 0.7500], [0.4762, 0.3388, 0.7500], [0.5238, 0.6612, 0.2500], [0.5360, 0.4185, 0.2500], [0.5815, 0.1175, 0.2500], [0.6440, 0.9120, 0.5849], [0.6440, 0.9120, 0.9151], [0.6612, 0.1373, 0.7500], [0.7320, 0.6440, 0.0849], [0.7320, 0.6440, 0.4151], [0.8627, 0.5238, 0.7500], [0.8825, 0.4640, 0.2500], [0.9120, 0.2680, 0.0849], [0.9120, 0.2680, 0.4151]], "formation_energy_uncorrected_ev_per_atom": -3.172, "magnetic_moment_mub_per_cell": 0.000, "energy_ev_per_atom": -18.0151}

=====

9.
{"formula": "Sr2TlCu", "functional": "meta-GGA SCAN", "state": "PBEsol geometry", "cell": [[6.2294, -1.8876, 0.0000], [6.2294, 1.8876, 0.0000], [-2.3276, 0.0000, 4.8902]], "species": ["Sr", "Sr", "Tl", "Cu"], "frac_coords": [[0.0000, 0.0000, 0.0000], [0.1980, 0.1980, 0.6961], [0.4116, 0.4116, 0.4123], [0.7380, 0.7380, 0.2341]], "delta_e_f_ev_per_atom": -0.1737, "magnetic_moment_mub_per_cell": 0.000, "energy_ev_per_atom": -33.2007}

=====

10.
{"formula": "KAg2Rh", "functional": "meta-GGA SCAN", "state": "PBEsol geometry", "cell": [[4.5778, -1.3817, 0.0000], [4.5778, 1.3817, 0.0000], [-0.5866, 0.0000, 6.6032]], "species": ["K", "Ag", "Ag", "Rh"], "frac_coords": [[0.0000, 0.0000, 0.0000], [0.2366, 0.2366, 0.6779], [0.7634, 0.7634, 0.3221], [0.5000, 0.5000, 0.5000]], "delta_e_f_ev_per_atom": 0.3730, "magnetic_moment_mub_per_cell": 0.640, "energy_ev_per_atom": -25.8356}

=====

11.
{"formula": "HfZrSc2I", "functional": "meta-GGA SCAN", "state": "PBEsol geometry", "cell": [[5.0721, 0.0000, 0.0000], [0.0000, 5.0721, 0.0000], [0.0000, 0.0000, 5.2792]], "species": ["Hf", "Zr", "Sc", "Sc", "I"], "frac_coords": [[0.0000, 0.0000, 0.0000], [0.5000, 0.5000, 0.5000], [0.0000, 0.5000, 0.5000], [0.5000, 0.0000, 0.5000], [0.5000, 0.5000, 0.0000]], "formation_energy_uncorrected_ev_per_atom": 1.135, "magnetic_moment_mub_per_cell": 0.000, "energy_ev_per_atom": -30.5821}

=====

12.
{"formula": "CaCdOs2", "functional": "meta-GGA SCAN", "state": "PBEsol geometry", "cell": [[3.9287, 0.0000, 0.0000], [0.0000, 3.9287, 0.0000], [0.0000, 0.0000, 4.4427]], "species": ["Ca", "Cd", "Os", "Os"], "frac_coords": [[0.0000, 0.0000, 0.0000], [0.5000, 0.5000, 0.0000], [0.0000, 0.5000, 0.5000], [0.5000, 0.0000, 0.5000]], "delta_e_f_ev_per_atom": 0.6925, "magnetic_moment_mub_per_cell": 1.321, "energy_ev_per_atom": -45.2669}